1.
Sr2CoBr: optimized geometry, PBE.

Output
As for the symmetry: No. 225. The energy above the most stable polymorph in this dataset comes out at 0.267 eV per atom. The total magnetization is 0.208 μB per atom.

Cell lengths 5.473, 5.473, 5.473 Å; angles 60.00, 60.00, 60.00 degrees
Sites, in units of the cell vectors:
Sr: 0.250 0.250 0.250
Sr: 0.750 0.750 0.750
Co: 0.000 0.000 0.000
Br: 0.500 0.500 0.500

2.
NbAl: optimized geometry, PBE.

Output
The formation energy from the elements comes out at 8.9 kJ/mol of atoms. As for the symmetry: No. 70. The total magnetization is 0.000 μB per atom.

Cell lengths 6.586, 6.264, 5.258 Å; angles 69.10, 62.67, 48.23 degrees
Sites, in units of the cell vectors:
Nb: 0.066 0.684 0.066
Nb: 0.316 0.934 0.316
Nb: 0.684 0.066 0.684
Nb: 0.934 0.316 0.934
Al: 0.192 0.558 0.558
Al: 0.442 0.808 0.808
Al: 0.558 0.192 0.192
Al: 0.808 0.442 0.442

3.
TcAg2Br: optimized geometry, PBE.

Output
As for the symmetry: No. 6. The energy above the most stable polymorph in this dataset comes out at 0.086 eV per atom. The total magnetization is 0.498 μB per atom.

Cell lengths 3.439, 3.250, 7.572 Å; angles 90.00, 102.45, 90.00 degrees
Sites, in units of the cell vectors:
Tc: 0.000 0.000 0.000
Ag: 0.403 0.500 0.796
Ag: 0.805 0.000 0.588
Br: 0.125 0.500 0.259

4.
Ba2In4Ag3Pb: optimized geometry, PBE.

Output
The formation energy from the elements comes out at -28.8 kJ/mol of atoms. As for the symmetry: No. 115. The total magnetization is 0.000 μB per atom.

Cell lengths 4.853, 4.853, 12.275 Å; angles 90.00, 90.00, 90.00 degrees
Sites, in units of the cell vectors:
Ba: 0.000 0.500 0.244
Ba: 0.500 0.000 0.756
In: 0.000 0.000 0.000
In: 0.000 0.500 0.645
In: 0.500 0.000 0.355
In: 0.500 0.500 0.000
Ag: 0.000 0.500 0.872
Ag: 0.500 0.000 0.128
Ag: 0.500 0.500 0.500
Pb: 0.000 0.000 0.500

5.
CaCrIr2: optimized geometry, PBE.

Output
The formation energy from the elements comes out at 23.4 kJ/mol of atoms. As for the symmetry: No. 166. The energy above the most stable polymorph in this dataset comes out at 0.371 eV per atom. The total magnetization is 0.423 μB per atom.

Cell lengths 9.006, 9.006, 9.006 Å; angles 18.60, 18.60, 18.60 degrees
Sites, in units of the cell vectors:
Ca: 0.000 0.000 0.000
Cr: 0.500 0.500 0.500
Ir: 0.240 0.240 0.240
Ir: 0.760 0.760 0.760

6.
Li2TlAs2: optimized geometry, PBE.

Output
The formation energy from the elements comes out at -32.3 kJ/mol of atoms. As for the symmetry: No. 139. The energy above the most stable polymorph in this dataset comes out at 0.000 eV per atom. The total magnetization is 0.000 μB per atom.

Cell lengths 6.102, 6.102, 6.102 Å; angles 135.83, 135.83, 64.24 degrees
Sites, in units of the cell vectors:
Li: 0.250 0.750 0.500
Li: 0.750 0.250 0.500
Tl: 0.000 0.000 0.000
As: 0.385 0.385 0.000
As: 0.615 0.615 0.000

7.
KSc3Cd: optimized geometry, PBE.

Output
The formation energy from the elements comes out at 124.4 kJ/mol of atoms. As for the symmetry: No. 221. The energy above the most stable polymorph in this dataset comes out at 0.710 eV per atom. The total magnetization is 0.000 μB per atom.

Cell lengths 5.014, 5.014, 5.014 Å; angles 90.00, 90.00, 90.00 degrees
Sites, in units of the cell vectors:
K: 0.000 0.000 0.000
Sc: 0.000 0.000 0.500
Sc: 0.000 0.500 0.000
Sc: 0.500 0.000 0.000
Cd: 0.500 0.500 0.500

8.
Zr3NbMo: optimized geometry, PBE.

Output
The formation energy from the elements comes out at 92.6 kJ/mol of atoms. As for the symmetry: No. 221. The energy above the most stable polymorph in this dataset comes out at 0.000 eV per atom. The total magnetization is 0.000 μB per atom.

Cell lengths 4.976, 4.976, 4.976 Å; angles 90.00, 90.00, 90.00 degrees
Sites, in units of the cell vectors:
Zr: 0.000 0.000 0.500
Zr: 0.000 0.500 0.000
Zr: 0.500 0.000 0.000
Nb: 0.500 0.500 0.500
Mo: 0.000 0.000 0.000

9.
LaSb2PPb: optimized geometry, PBE.

Output
As for the symmetry: No. 123. For the calculated total energy, the calculation gives -3.98 eV per atom. The total magnetization is 0.000 μB per atom.

Cell lengths 6.031, 6.031, 5.412 Å; angles 90.00, 90.00, 90.00 degrees
Sites, in units of the cell vectors:
La: 0.000 0.000 0.000
Sb: 0.000 0.500 0.000
Sb: 0.500 0.000 0.000
P: 0.000 0.000 0.500
Pb: 0.500 0.500 0.500

10.
LiSn2SeS3: optimized geometry, PBE.

Output
As for the symmetry: No. 166. For the calculated total energy, the calculation gives -4.25 eV per atom. The total magnetization is 0.000 μB per atom.

Cell lengths 7.804, 7.804, 7.804 Å; angles 59.48, 59.48, 59.48 degrees
Sites, in units of the cell vectors:
Li: 0.109 0.109 0.109
Li: 0.891 0.891 0.891
Sn: 0.000 0.500 0.500
Sn: 0.500 0.000 0.500
Sn: 0.500 0.500 0.000
Sn: 0.500 0.500 0.500
Se: 0.248 0.248 0.248
Se: 0.752 0.752 0.752
S: 0.251 0.251 0.728
S: 0.251 0.728 0.251
S: 0.272 0.749 0.749
S: 0.728 0.251 0.251
S: 0.749 0.272 0.749
S: 0.749 0.749 0.272

11.
Ac3Si2Ag4: optimized geometry, PBE.

Output
As for the symmetry: No. 12. For the calculated total energy, the calculation gives -4.25 eV per atom. The total magnetization is 0.000 μB per atom.

Cell lengths 6.310, 6.310, 9.186 Å; angles 106.23, 106.23, 42.87 degrees
Sites, in units of the cell vectors:
Ac: 0.000 0.000 0.000
Ac: 0.332 0.332 0.340
Ac: 0.668 0.668 0.660
Si: 0.393 0.393 0.721
Si: 0.607 0.607 0.279
Ag: 0.055 0.055 0.381
Ag: 0.284 0.284 0.935
Ag: 0.716 0.716 0.065
Ag: 0.945 0.945 0.619

12.
Ca2RuBr: optimized geometry, PBE.

Output
As for the symmetry: No. 12. The energy above the most stable polymorph in this dataset comes out at 0.205 eV per atom. The total magnetization is 0.171 μB per atom.

Cell lengths 5.288, 5.288, 3.346 Å; angles 90.17, 90.17, 89.99 degrees
Sites, in units of the cell vectors:
Ca: 0.000 0.500 0.000
Ca: 0.500 0.000 0.000
Ru: 0.000 0.000 0.500
Br: 0.500 0.500 0.500

13.
YZrNiRh2: optimized geometry, PBE.

Output
The formation energy from the elements comes out at 31.7 kJ/mol of atoms. As for the symmetry: No. 123. The total magnetization is 0.000 μB per atom.

Cell lengths 4.707, 4.707, 4.518 Å; angles 90.00, 90.00, 90.00 degrees
Sites, in units of the cell vectors:
Y: 0.000 0.000 0.000
Zr: 0.500 0.500 0.000
Ni: 0.000 0.000 0.500
Rh: 0.000 0.500 0.500
Rh: 0.500 0.000 0.500